1.
This record from the Alexandria database describes crystalline Fe3P2H8O8 at its relaxed geometry. The functional is PBE+U.

Lattice parameters (Å, degrees): 8.0232 8.0232 4.9020 100.15 100.15 99.55
Atoms (fractional coordinates):
Fe 0.0000 0.0000 0.0000
Fe 0.4074 0.5926 0.0000
Fe 0.5926 0.4074 0.0000
P 0.3194 0.3194 0.3411
P 0.6806 0.6806 0.6589
H 0.0779 0.1402 0.7233
H 0.1402 0.0779 0.7233
H 0.1550 0.7692 0.9885
H 0.2308 0.8450 0.0115
H 0.7692 0.1550 0.9885
H 0.8450 0.2308 0.0115
H 0.8598 0.9221 0.2767
H 0.9221 0.8598 0.2767
O 0.1639 0.1639 0.2857
O 0.2570 0.4680 0.2137
O 0.3757 0.3757 0.6723
O 0.4680 0.2570 0.2137
O 0.5320 0.7430 0.7863
O 0.6243 0.6243 0.3277
O 0.7430 0.5320 0.7863
O 0.8361 0.8361 0.7143

Electronic total energy (eV per cell): -115.469



2.
This record from the Alexandria database describes crystalline K4Ac3CoO8 at its relaxed geometry. The functional is PBE+U.

Lattice parameters (Å, degrees): 7.4146 7.4146 7.7497 119.20 119.20 62.08
Atoms (fractional coordinates):
K 0.0000 0.0000 0.0000
K 0.0000 0.5000 0.0000
K 0.5000 0.0000 0.0000
K 0.5000 0.5000 0.0000
Ac 0.0000 0.0000 0.5000
Ac 0.0000 0.5000 0.5000
Ac 0.5000 0.0000 0.5000
Co 0.5000 0.5000 0.5000
O 0.2172 0.7511 0.7164
O 0.2389 0.2389 0.6976
O 0.2489 0.7828 0.2836
O 0.3240 0.3240 0.3482
O 0.6760 0.6760 0.6518
O 0.7511 0.2172 0.7164
O 0.7611 0.7611 0.3024
O 0.7828 0.2489 0.2836

Electronic total energy (eV per cell): -94.977